Entry 1:
Material: LaGe
Method: DFT, SCAN
State: PBEsol geometry

a b c (Å): 8.406 4.080 6.032
angles (deg): 90.00 90.00 90.00
Atoms (fractional coordinates):
La1 0.181 0.250 0.116
La2 0.319 0.750 0.616
La3 0.681 0.250 0.384
La4 0.819 0.750 0.884
Ge1 0.036 0.250 0.632
Ge2 0.464 0.750 0.132
Ge3 0.536 0.250 0.868
Ge4 0.964 0.750 0.368

Output
Total magnetization (μB/cell): 0.00
ΔH_f (0 K) (kJ/mol of atoms): -89.9

***

Entry 2:
Material: LaGe5
Method: DFT, SCAN
State: PBEsol geometry

a b c (Å): 6.137 6.137 6.137
angles (deg): 141.97 118.57 74.58
Atoms (fractional coordinates):
La1 0.000 0.000 0.000
Ge1 0.128 0.330 0.799
Ge2 0.469 0.670 0.799
Ge3 0.500 0.000 0.500
Ge4 0.531 0.330 0.201
Ge5 0.872 0.670 0.201

Output
Total magnetization (μB/cell): 0.00
ΔH_f (0 K) (kJ/mol of atoms): -30.9

***

Entry 3:
Material: LaGe
Method: DFT, SCAN
State: PBEsol geometry

a b c (Å): 7.153 7.153 6.699
angles (deg): 90.00 90.00 143.09
Atoms (fractional coordinates):
La1 0.048 0.952 0.750
La2 0.226 0.774 0.250
La3 0.774 0.226 0.750
La4 0.952 0.048 0.250
Ge1 0.402 0.598 0.555
Ge2 0.402 0.598 0.945
Ge3 0.598 0.402 0.055
Ge4 0.598 0.402 0.445

Output
Total magnetization (μB/cell): 0.00
ΔH_f (0 K) (kJ/mol of atoms): -91.5

***

Entry 4:
Material: LiLa3Ge
Method: DFT, SCAN
State: PBEsol geometry

a b c (Å): 5.782 5.782 5.782
angles (deg): 90.00 90.00 90.00
Atoms (fractional coordinates):
Li1 0.000 0.000 0.000
La1 0.000 0.500 0.500
La2 0.500 0.000 0.500
La3 0.500 0.500 0.000
Ge1 0.500 0.500 0.500

Output
Total magnetization (μB/cell): 3.22
ΔH_f (0 K) (kJ/mol of atoms): -9.7

***

Entry 5:
Material: LiLaGeO2
Method: DFT, SCAN
State: PBEsol geometry

a b c (Å): 4.104 4.104 4.040
angles (deg): 90.00 90.00 90.00
Atoms (fractional coordinates):
Li1 0.000 0.000 0.000
La1 0.500 0.500 0.500
Ge1 0.000 0.000 0.500
O1 0.000 0.500 0.000
O2 0.500 0.000 0.000

Output
Total magnetization (μB/cell): 0.00
DFT total energy (eV per atom): -16.484

***

Entry 6:
Material: LaMg2Ge2
Method: DFT, SCAN
State: PBEsol geometry

a b c (Å): 6.632 6.632 6.632
angles (deg): 142.04 142.04 54.77
Atoms (fractional coordinates):
La1 0.000 0.000 0.000
Mg1 0.250 0.750 0.500
Mg2 0.750 0.250 0.500
Ge1 0.393 0.393 0.000
Ge2 0.607 0.607 0.000

Output
Total magnetization (μB/cell): 0.00
ΔH_f (0 K) (kJ/mol of atoms): -60.4